Material: Cr4Cu3P6O24
Method: DFT, PBE with a Hubbard U
State: optimized geometry

Cell lengths 6.3126, 7.9499, 9.4334 Å; angles 106.86, 107.75, 100.11 degrees
Element x y z (fractional)
Cr 0.9509 0.2879 0.4779
Cu 0.2907 0.8236 0.3054
O 0.4537 0.2597 0.7606
O 0.6840 0.4509 0.0779
P 0.9047 0.3962 0.1634
O 0.7930 0.0560 0.2982
Cu 0.0000 0.0000 0.0000
Cr 0.3807 0.4586 0.1097
O 0.0761 0.5523 0.6581
P 0.3965 0.2358 0.3678
Cr 0.0491 0.7121 0.5221
O 0.2504 0.2914 0.4650
Cu 0.7093 0.1764 0.6946
O 0.4439 0.3594 0.2775
O 0.8842 0.4757 0.8421
O 0.9907 0.8149 0.3451
P 0.7742 0.8546 0.2360
O 0.5561 0.6406 0.7225
O 0.1158 0.5243 0.1579
O 0.2265 0.2041 0.9372
P 0.6035 0.7642 0.6322
O 0.9239 0.4477 0.3419
O 0.6362 0.2535 0.4963
Cr 0.6193 0.5414 0.8903
O 0.7177 0.9661 0.7584
O 0.5463 0.7403 0.2394
O 0.3638 0.7465 0.5037
O 0.2823 0.0339 0.2416
O 0.3160 0.5491 0.9221
P 0.2258 0.1454 0.7640
P 0.0953 0.6038 0.8366
O 0.7735 0.7959 0.0628
O 0.1238 0.8042 0.9187
O 0.7496 0.7086 0.5350
O 0.0093 0.1851 0.6550
O 0.8762 0.1958 0.0813
O 0.2070 0.9440 0.7018

Properties
**Electronic total energy**: -7.11 eV/atom
**Space-group type**: No. 2